Compound: MnGeO2
Source: Alexandria via LeMat-Bulk
Functional: PBE with a Hubbard U
Structure: optimized geometry

Lattice parameters (Å, degrees): 3.114 4.860 7.945 90.00 101.30 90.00
Last column: magnetic moment on the atom in μB.
Element x y z (fractional)
Mn 0.675 0.727 0.349  4.59
Mn 0.325 0.227 0.651  4.59
Ge 0.889 0.719 0.778  0.03
Ge 0.111 0.219 0.222  0.03
O 0.210 0.450 0.420  0.07
O 0.790 0.950 0.580  0.07
O 0.430 0.914 0.860  0.04
O 0.570 0.414 0.140  0.04

Calculated values
The value obtained for the density of states at the Fermi level is 0.000 states/eV/atom. The calculation puts the final energy at -6.80 eV per atom.